--- i ---
# TmInSn3

An optimized crystal structure of TmInSn3 (PBE, Alexandria via LeMat-Bulk).

Computed properties:
Its calculated volume is 27.434 Å³ per atom. Its crystal system is orthorhombic.

```
data_TmInSn3
_chemical_formula_sum 'Tm4 In4 Sn12'
_cell_length_a 8.2990
_cell_length_b 6.2017
_cell_length_c 10.6605
_cell_angle_alpha 90.00
_cell_angle_beta 90.00
_cell_angle_gamma 90.00
_space_group_name_H-M_alt 'P 1'
_space_group_IT_number 1
_space_group_name_Hall 'P 1'
loop_
_atom_site_label
_atom_site_fract_x
_atom_site_fract_y
_atom_site_fract_z
Sn1 0.3366 0.0041 0.4298
Sn2 0.3366 0.4959 0.4298
Sn3 0.8332 0.2500 0.3593
Sn4 0.1668 0.7500 0.6407
Sn5 0.8366 0.9959 0.0702
Sn6 0.8366 0.5041 0.0702
Sn7 0.1634 0.4959 0.9298
Sn8 0.6668 0.2500 0.8593
Sn9 0.1634 0.0041 0.9298
Sn10 0.6634 0.5041 0.5702
Sn11 0.3332 0.7500 0.1407
Sn12 0.6634 0.9959 0.5702
In1 0.9684 0.2500 0.6744
In2 0.0316 0.7500 0.3256
In3 0.5316 0.2500 0.1744
In4 0.4684 0.7500 0.8256
Tm1 0.8486 0.7500 0.7983
Tm2 0.1514 0.2500 0.2017
Tm3 0.6514 0.7500 0.2983
Tm4 0.3486 0.2500 0.7017
```

---

--- ii ---
# TmInSn3

An optimized crystal structure of TmInSn3 (PBE, Alexandria via LeMat-Bulk).

Computed properties:
Its calculated volume is 26.373 Å³ per atom. Its crystal system is orthorhombic.

```
data_TmInSn3
_chemical_formula_sum 'Tm4 In4 Sn12'
_cell_length_a 6.3714
_cell_length_b 6.2364
_cell_length_c 13.2747
_cell_angle_alpha 90.00
_cell_angle_beta 90.00
_cell_angle_gamma 90.00
_space_group_name_H-M_alt 'P 1'
_space_group_IT_number 1
_space_group_name_Hall 'P 1'
loop_
_atom_site_label
_atom_site_fract_x
_atom_site_fract_y
_atom_site_fract_z
In1 0.5000 0.2500 0.1202
In2 0.5000 0.7500 0.8798
In3 0.0000 0.2500 0.1202
In4 0.0000 0.7500 0.8798
Sn1 0.2500 0.2103 0.9135
Sn2 0.5000 0.2500 0.4995
Sn3 0.2500 0.7103 0.0865
Sn4 0.0000 0.7500 0.5005
Sn5 0.2500 0.9824 0.2892
Sn6 0.7500 0.7897 0.0865
Sn7 0.7500 0.0176 0.7108
Sn8 0.2500 0.4824 0.7108
Sn9 0.7500 0.2897 0.9135
Sn10 0.5000 0.7500 0.5005
Sn11 0.7500 0.5176 0.2892
Sn12 0.0000 0.2500 0.4995
Tm1 0.7500 0.5132 0.6874
Tm2 0.2500 0.9868 0.6874
Tm3 0.2500 0.4868 0.3126
Tm4 0.7500 0.0132 0.3126
```

---

Quick one: least stable of them? i

---

--- i ---
# TmInSn

An optimized crystal structure of TmInSn (PBE, Alexandria via LeMat-Bulk).

Computed properties:
Its calculated volume is 25.586 Å³ per atom. Its crystal system is orthorhombic.

```
data_TmInSn
_chemical_formula_sum 'Tm2 In2 Sn2'
_cell_length_a 4.2751
_cell_length_b 4.5040
_cell_length_c 8.2847
_cell_angle_alpha 105.77
_cell_angle_beta 90.00
_cell_angle_gamma 90.00
_space_group_name_H-M_alt 'P 1'
_space_group_IT_number 1
_space_group_name_Hall 'P 1'
loop_
_atom_site_label
_atom_site_fract_x
_atom_site_fract_y
_atom_site_fract_z
In1 0.2500 0.7444 0.4888
In2 0.7500 0.2556 0.5112
Tm1 0.7500 0.9098 0.8196
Tm2 0.2500 0.0902 0.1804
Sn1 0.2500 0.4292 0.8584
Sn2 0.7500 0.5708 0.1416
```

---

--- ii ---
# TmInSn

An optimized crystal structure of TmInSn (PBE, Alexandria via LeMat-Bulk).

Computed properties:
Its calculated volume is 29.645 Å³ per atom. Its crystal system is cubic.

```
data_TmInSn
_chemical_formula_sum 'Tm4 In4 Sn4'
_cell_length_a 7.0856
_cell_length_b 7.0856
_cell_length_c 7.0856
_cell_angle_alpha 90.00
_cell_angle_beta 90.00
_cell_angle_gamma 90.00
_space_group_name_H-M_alt 'P 1'
_space_group_IT_number 1
_space_group_name_Hall 'P 1'
loop_
_atom_site_label
_atom_site_fract_x
_atom_site_fract_y
_atom_site_fract_z
Tm1 0.4445 0.5555 0.0555
Tm2 0.0555 0.4445 0.5555
Tm3 0.5555 0.0555 0.4445
Tm4 0.9445 0.9445 0.9445
In1 0.9992 0.4992 0.0008
In2 0.5008 0.5008 0.5008
In3 0.0008 0.9992 0.4992
In4 0.4992 0.0008 0.9992
Sn1 0.8073 0.6927 0.3073
Sn2 0.6927 0.3073 0.8073
Sn3 0.1927 0.1927 0.1927
Sn4 0.3073 0.8073 0.6927
```

---

--- iii ---
# TmInSn

An optimized crystal structure of TmInSn (PBE, Alexandria via LeMat-Bulk).

Computed properties:
Its calculated volume is 27.677 Å³ per atom. Its crystal system is orthorhombic.

```
data_TmInSn
_chemical_formula_sum 'Tm2 In2 Sn2'
_cell_length_a 4.6838
_cell_length_b 6.2325
_cell_length_c 6.1385
_cell_angle_alpha 90.00
_cell_angle_beta 90.00
_cell_angle_gamma 112.07
_space_group_name_H-M_alt 'P 1'
_space_group_IT_number 1
_space_group_name_Hall 'P 1'
loop_
_atom_site_label
_atom_site_fract_x
_atom_site_fract_y
_atom_site_fract_z
Sn1 0.3165 0.1331 0.7500
Sn2 0.6835 0.8669 0.2500
Tm1 0.6419 0.7838 0.7500
Tm2 0.3581 0.2162 0.2500
In1 0.0393 0.5786 0.2500
In2 0.9607 0.4214 0.7500
```

---

Quick one: least stable of them? ii

---

--- i ---
# TmInSn

An optimized crystal structure of TmInSn (PBE, Alexandria via LeMat-Bulk).

Computed properties:
Its calculated volume is 26.064 Å³ per atom. Its crystal system is tetragonal.

```
data_TmInSn
_chemical_formula_sum 'Tm1 In1 Sn1'
_cell_length_a 3.7495
_cell_length_b 3.7495
_cell_length_c 6.1614
_cell_angle_alpha 107.71
_cell_angle_beta 107.71
_cell_angle_gamma 90.00
_space_group_name_H-M_alt 'P 1'
_space_group_IT_number 1
_space_group_name_Hall 'P 1'
loop_
_atom_site_label
_atom_site_fract_x
_atom_site_fract_y
_atom_site_fract_z
In1 0.3253 0.3253 0.6505
Sn1 0.6746 0.6746 0.3491
Tm1 0.0002 0.0002 0.0003
```

---

--- ii ---
# TmInSn

An optimized crystal structure of TmInSn (PBE, Alexandria via LeMat-Bulk).

Computed properties:
Its calculated volume is 25.728 Å³ per atom. Its crystal system is trigonal.

```
data_TmInSn
_chemical_formula_sum 'Tm1 In1 Sn1'
_cell_length_a 3.3294
_cell_length_b 5.1739
_cell_length_c 5.1739
_cell_angle_alpha 120.00
_cell_angle_beta 90.00
_cell_angle_gamma 90.00
_space_group_name_H-M_alt 'P 1'
_space_group_IT_number 1
_space_group_name_Hall 'P 1'
loop_
_atom_site_label
_atom_site_fract_x
_atom_site_fract_y
_atom_site_fract_z
In1 0.1782 0.6667 0.3333
Tm1 0.6661 0.3333 0.6667
Sn1 0.1557 0.0000 0.0000
```

---

Quick one: least stable of them? i

---

--- i ---
# TmIn2Sn2

An optimized crystal structure of TmIn2Sn2 (PBE, Alexandria via LeMat-Bulk).

Computed properties:
Its calculated volume is 25.940 Å³ per atom. Its crystal system is orthorhombic.

```
data_TmIn2Sn2
_chemical_formula_sum 'Tm2 In4 Sn4'
_cell_length_a 4.4003
_cell_length_b 4.4652
_cell_length_c 13.3846
_cell_angle_alpha 90.00
_cell_angle_beta 99.46
_cell_angle_gamma 90.00
_space_group_name_H-M_alt 'P 1'
_space_group_IT_number 1
_space_group_name_Hall 'P 1'
loop_
_atom_site_label
_atom_site_fract_x
_atom_site_fract_y
_atom_site_fract_z
In1 0.5535 0.2500 0.1071
In2 0.9497 0.2500 0.8993
In3 0.0503 0.7500 0.1007
In4 0.4465 0.7500 0.8929
Sn1 0.2499 0.7500 0.4997
Sn2 0.1451 0.2500 0.2903
Sn3 0.7501 0.2500 0.5003
Sn4 0.8549 0.7500 0.7097
Tm1 0.3446 0.2500 0.6893
Tm2 0.6554 0.7500 0.3107
```

---

--- ii ---
# TmIn2Sn2

An optimized crystal structure of TmIn2Sn2 (PBE, Alexandria via LeMat-Bulk).

Computed properties:
Its calculated volume is 26.527 Å³ per atom. Its crystal system is monoclinic.

```
data_TmIn2Sn2
_chemical_formula_sum 'Tm1 In2 Sn2'
_cell_length_a 4.0877
_cell_length_b 4.0883
_cell_length_c 8.4342
_cell_angle_alpha 76.20
_cell_angle_beta 76.18
_cell_angle_gamma 90.28
_space_group_name_H-M_alt 'P 1'
_space_group_IT_number 1
_space_group_name_Hall 'P 1'
loop_
_atom_site_label
_atom_site_fract_x
_atom_site_fract_y
_atom_site_fract_z
Tm1 0.1998 0.9999 0.0000
In1 0.0047 0.8042 0.3944
In2 0.3960 0.1959 0.6056
Sn1 0.6006 0.4009 0.1998
Sn2 0.7988 0.5991 0.8003
```

---

Quick one: least stable of them? ii

---

--- i ---
# UIn2Sn

An optimized crystal structure of UIn2Sn (PBE, Alexandria via LeMat-Bulk).

Computed properties:
Its calculated volume is 24.854 Å³ per atom. Its crystal system is tetragonal.

```
data_UIn2Sn
_chemical_formula_sum 'U1 In2 Sn1'
_cell_length_a 4.8215
_cell_length_b 4.5409
_cell_length_c 4.5409
_cell_angle_alpha 90.00
_cell_angle_beta 90.00
_cell_angle_gamma 90.00
_space_group_name_H-M_alt 'P 1'
_space_group_IT_number 1
_space_group_name_Hall 'P 1'
loop_
_atom_site_label
_atom_site_fract_x
_atom_site_fract_y
_atom_site_fract_z
Sn1 0.5000 0.5000 0.5000
In1 0.0000 0.5000 0.0000
In2 0.0000 0.0000 0.5000
U1 0.5000 0.0000 0.0000
```

---

--- ii ---
# UIn2Sn

An optimized crystal structure of UIn2Sn (PBE, Alexandria via LeMat-Bulk).

Computed properties:
Its calculated volume is 25.320 Å³ per atom. Its crystal system is orthorhombic.

```
data_UIn2Sn
_chemical_formula_sum 'U1 In2 Sn1'
_cell_length_a 4.3954
_cell_length_b 4.4820
_cell_length_c 6.0236
_cell_angle_alpha 111.84
_cell_angle_beta 111.40
_cell_angle_gamma 90.00
_space_group_name_H-M_alt 'P 1'
_space_group_IT_number 1
_space_group_name_Hall 'P 1'
loop_
_atom_site_label
_atom_site_fract_x
_atom_site_fract_y
_atom_site_fract_z
U1 0.0000 0.0000 0.0000
In1 0.2492 0.7492 0.4984
In2 0.7508 0.2508 0.5016
Sn1 0.5000 0.5000 0.0000
```

---

Quick one: least stable of them? ii

---

--- i ---
# VIn3Sn

An optimized crystal structure of VIn3Sn (PBE, Alexandria via LeMat-Bulk).

Computed properties:
Its calculated volume is 35.409 Å³ per atom. Its crystal system is cubic.

```
data_VIn3Sn
_chemical_formula_sum 'V1 In3 Sn1'
_cell_length_a 5.6151
_cell_length_b 5.6151
_cell_length_c 5.6151
_cell_angle_alpha 90.00
_cell_angle_beta 90.00
_cell_angle_gamma 90.00
_space_group_name_H-M_alt 'P 1'
_space_group_IT_number 1
_space_group_name_Hall 'P 1'
loop_
_atom_site_label
_atom_site_fract_x
_atom_site_fract_y
_atom_site_fract_z
In1 0.0000 0.5000 0.0000
In2 0.5000 0.0000 0.0000
In3 0.0000 0.0000 0.5000
Sn1 0.0000 0.0000 0.0000
V1 0.5000 0.5000 0.5000
```

---

--- ii ---
# VIn3Sn

An optimized crystal structure of VIn3Sn (PBE, Alexandria via LeMat-Bulk).

Computed properties:
Its calculated volume is 28.217 Å³ per atom. Its crystal system is cubic.

```
data_VIn3Sn
_chemical_formula_sum 'V1 In3 Sn1'
_cell_length_a 5.2059
_cell_length_b 5.2059
_cell_length_c 5.2059
_cell_angle_alpha 90.00
_cell_angle_beta 90.00
_cell_angle_gamma 90.00
_space_group_name_H-M_alt 'P 1'
_space_group_IT_number 1
_space_group_name_Hall 'P 1'
loop_
_atom_site_label
_atom_site_fract_x
_atom_site_fract_y
_atom_site_fract_z
In1 0.0000 0.0000 0.5000
In2 0.5000 0.0000 0.0000
In3 0.0000 0.5000 0.0000
V1 0.0000 0.0000 0.0000
Sn1 0.5000 0.5000 0.5000
```

---

Quick one: least stable of them? i